Al3In | PBE-GGA | relaxed

- E_form: 114.3 meV/atom

Lattice parameters (Å, degrees): 10.1618 10.1618 10.1618 16.94 16.94 16.94
With the nearest neighbours (Å) after each atom.
Sites, in units of the cell vectors:
Al1 0.2437 0.2437 0.2437  9 Al 2.89-2.99, 3 In 3.20
Al2 0.7563 0.7563 0.7563  9 Al 2.89-2.99, 3 In 3.20
Al3 0.5000 0.5000 0.5000  12 Al 2.89-2.99
In1 0.0000 0.0000 0.0000  6 In 2.99, 6 Al 3.20